# 1
Compound: CuGe3P4
Source: Alexandria
Functional: PBE
Structure: optimized geometry

```
CuGe3P4
1.0
7.924 0.000 0.000
0.000 6.525 0.000
0.000 0.000 6.249
Cu Ge P
2 6 8
Direct
0.000 0.168 0.000
0.500 0.832 0.500
0.000 0.824 0.502
0.248 0.329 0.504
0.252 0.671 0.004
0.500 0.176 0.002
0.748 0.671 0.004
0.752 0.329 0.504
0.000 0.166 0.636
0.000 0.838 0.120
0.240 0.323 0.121
0.260 0.677 0.621
0.500 0.162 0.620
0.500 0.834 0.136
0.740 0.677 0.621
0.760 0.323 0.121
```

Output
* space-group type: Pmn2_1
* calculated density: 4167 kg/m3
* raw total energy: -4.97 eV/atom
* formation energy: -24 meV/atom
* crystal system: orthorhombic



# 2
Compound: Pr12Y3Er
Source: Alexandria
Functional: PBE
Structure: optimized geometry

```
Pr12Y3Er
1.0
5.200 0.000 0.000
0.000 5.200 0.000
0.000 0.000 20.739
Pr Y Er
12 3 1
Direct
0.000 0.000 0.000
0.000 0.000 0.249
0.000 0.000 0.500
0.000 0.000 0.751
0.000 0.500 0.124
0.000 0.500 0.375
0.000 0.500 0.625
0.000 0.500 0.876
0.500 0.000 0.124
0.500 0.000 0.375
0.500 0.000 0.625
0.500 0.000 0.876
0.500 0.500 0.249
0.500 0.500 0.500
0.500 0.500 0.751
0.500 0.500 0.000
```

Output
* space-group type: P4/mmm
* calculated density: 6291 kg/m3
* raw total energy: -5.07 eV/atom
* formation energy: 10 meV/atom
* crystal system: tetragonal



# 3
Compound: MnGe2Ir
Source: Alexandria
Functional: PBE
Structure: optimized geometry

```
MnGe2Ir
1.0
5.853 0.000 0.000
0.000 7.438 0.000
-0.206 0.000 5.338
Mn Ge Ir
4 8 4
Direct
0.179 0.000 0.165
0.321 0.500 0.835
0.679 0.500 0.165
0.821 0.000 0.835
0.000 0.294 0.000
0.000 0.706 0.000
0.206 0.000 0.673
0.294 0.500 0.327
0.500 0.206 0.000
0.500 0.794 0.000
0.706 0.500 0.673
0.794 0.000 0.327
0.000 0.294 0.500
0.000 0.706 0.500
0.500 0.206 0.500
0.500 0.794 0.500
```

Output
* space-group type: C2/m
* calculated density: 11218 kg/m3
* raw total energy: -6.92 eV/atom
* formation energy: -106 meV/atom
* crystal system: monoclinic